(1)
Computed, not measured: a relaxed Pm2Hg7 crystal at the PBE level of DFT.

The structure in POSCAR format:
```
Pm2Hg7
1.0
4.4617 -2.6246 0.0000
4.4617 2.6246 0.0000
-0.4328 0.0000 9.6027
Pm Hg
2 7
Direct
0.1637 0.1637 0.2715 Pm
0.8363 0.8363 0.7285 Pm
0.1672 0.1672 0.6038 Hg
0.1697 0.1697 0.9288 Hg
0.4953 0.4953 0.1596 Hg
0.5000 0.5000 0.5000 Hg
0.5047 0.5047 0.8404 Hg
0.8303 0.8303 0.0712 Hg
0.8328 0.8328 0.3962 Hg
```

Computed properties:
**Uncorrected energy**: -1.60 eV/atom
**Total magnetic moment**: 0.0 μB per formula unit
**Energy of formation**: -0.308 eV per atom
**Space-group type**: C2/m, No. 12



(2)
Computed, not measured: a relaxed NaSiBiP2 crystal at the PBE level of DFT.

The structure in POSCAR format:
```
NaSiBiP2
1.0
4.6624 0.0000 0.0000
0.0000 4.6624 0.0000
0.0000 0.0000 5.1538
Na Si Bi P
1 1 1 2
Direct
0.0000 0.0000 0.0000 Na
0.0000 0.0000 0.5000 Si
0.5000 0.5000 0.0000 Bi
0.0000 0.5000 0.5000 P
0.5000 0.0000 0.5000 P
```

Computed properties:
**Uncorrected energy**: -3.77 eV/atom
**Total magnetic moment**: 0.0 μB per formula unit
**Formation energy without anion corrections**: 0.523 eV per atom
**Space-group type**: P4/mmm, No. 123



(3)
Computed, not measured: a relaxed La5ThPt6 crystal at the PBE level of DFT.

The structure in POSCAR format:
```
La5ThPt6
1.0
3.6799 -6.3622 0.0000
3.6799 6.3622 0.0000
-2.4510 0.0000 6.9291
La Th Pt
5 1 6
Direct
0.0000 0.0000 0.0000 La
0.1669 0.8331 0.5000 La
0.3336 0.6664 0.0000 La
0.6664 0.3336 0.0000 La
0.8331 0.1669 0.5000 La
0.5000 0.5000 0.5000 Th
0.0927 0.4181 0.2544 Pt
0.2561 0.2561 0.7446 Pt
0.4181 0.0927 0.2544 Pt
0.5819 0.9073 0.7456 Pt
0.7439 0.7439 0.2554 Pt
0.9073 0.5819 0.7456 Pt
```

Computed properties:
**Uncorrected energy**: -6.87 eV/atom
**Total magnetic moment**: 0.0 μB per formula unit
**Energy of formation**: -1.183 eV per atom
**Space-group type**: C2/m, No. 12



(4)
Computed, not measured: a relaxed Er2MgHg5 crystal at the PBE level of DFT.

The structure in POSCAR format:
```
Er2MgHg5
1.0
-2.4868 2.4868 7.6316
2.4868 -2.4868 7.6316
2.4868 2.4868 -7.6316
Er Mg Hg
2 1 5
Direct
0.2470 0.2470 0.0000 Er
0.7530 0.7530 0.0000 Er
0.5000 0.5000 0.0000 Mg
0.0000 0.0000 0.0000 Hg
0.1231 0.6231 0.5000 Hg
0.3769 0.8769 0.5000 Hg
0.6231 0.1231 0.5000 Hg
0.8769 0.3769 0.5000 Hg
```

Computed properties:
**Uncorrected energy**: -1.82 eV/atom
**Total magnetic moment**: 0.3 μB per formula unit
**Energy of formation**: -0.290 eV per atom
**Space-group type**: I4/mmm, No. 139



Which value of total magnetic moment does entry 3 give? 0.0 μB per formula unit



Please write out number 4 again, unchanged.
Computed, not measured: a relaxed Er2MgHg5 crystal at the PBE level of DFT.

The structure in POSCAR format:
```
Er2MgHg5
1.0
-2.4868 2.4868 7.6316
2.4868 -2.4868 7.6316
2.4868 2.4868 -7.6316
Er Mg Hg
2 1 5
Direct
0.2470 0.2470 0.0000 Er
0.7530 0.7530 0.0000 Er
0.5000 0.5000 0.0000 Mg
0.0000 0.0000 0.0000 Hg
0.1231 0.6231 0.5000 Hg
0.3769 0.8769 0.5000 Hg
0.6231 0.1231 0.5000 Hg
0.8769 0.3769 0.5000 Hg
```

Computed properties:
**Uncorrected energy**: -1.82 eV/atom
**Total magnetic moment**: 0.3 μB per formula unit
**Energy of formation**: -0.290 eV per atom
**Space-group type**: I4/mmm, No. 139



Which value of total magnetic moment does entry 3 give? 0.0 μB per formula unit